Here is a relaxed structure of CoAs2Ru from the Alexandria database. Energies are from PBE.

Results
- Final energy: -6.3119 eV per atom
- Fermi-level density of states: 11.0 states/eV/cell
- Energy of formation from the pure elements: 108 meV/atom

Unit cell a=5.3628 b=5.3628 c=10.6918 alpha=90.00 beta=90.00 gamma=90.00
Closest atoms and distances in Å follow each position.
Space group I-42d (No. 122)
Unique sites:
Co: 0.0000 0.0000 0.0000 [4 per cell]  4 As 2.27
As: 0.2328 0.2500 0.1250 [8 per cell]  2 Co 2.27, 2 Ru 2.37
Ru: 0.0000 0.0000 0.5000 [4 per cell]  4 As 2.37

---

Here is a relaxed structure of Sc2GaTc from the Alexandria database. Energies are from PBE.

Results
- Final energy: -6.2080 eV per atom
- Fermi-level density of states: 26.7 states/eV/cell
- Energy of formation from the pure elements: 306 meV/atom

Unit cell a=4.0312 b=4.0312 c=19.0321 alpha=90.00 beta=90.00 gamma=90.00
Closest atoms and distances in Å follow each position.
Space group I-42d (No. 122)
Unique sites:
Sc: 0.2400 0.2500 0.1250 [8 per cell]  2 Tc 2.76, 2 Ga 2.79, 4 Sc 2.79-2.91
Ga: 0.0000 0.0000 0.5000 [4 per cell]  4 Sc 2.79, 4 Tc 2.85
Tc: 0.0000 0.0000 0.0000 [4 per cell]  4 Sc 2.76, 4 Ga 2.85

---

Here is a relaxed structure of RbAc2O from the Alexandria database. Energies are from PBE.

Results
- Final energy: -4.5144 eV per atom
- Fermi-level density of states: 12.9 states/eV/cell
- Formation energy (no corrections): -0.9787 eV/atom

Unit cell a=3.9715 b=3.9715 c=33.8260 alpha=90.00 beta=90.00 gamma=120.00
Closest atoms and distances in Å follow each position.
Space group R-3m (No. 166, hexagonal axes)
Unique sites:
Rb: 0.0000 0.0000 0.0000 [3 per cell]  6 Rb 3.97, 2 Ac 4.18
Ac: 0.0000 0.0000 0.1236 [6 per cell]  3 O 2.72
O: 0.0000 0.0000 0.5000 [3 per cell]  6 Ac 2.72

---

Here is a relaxed structure of NiMoIr2 from the Alexandria database. Energies are from PBE.

Results
- Final energy: -7.7002 eV per atom
- Fermi-level density of states: 13.1 states/eV/cell
- Energy of formation from the pure elements: 883 meV/atom

Unit cell a=5.6331 b=5.6331 c=10.2323 alpha=90.00 beta=90.00 gamma=90.00
Closest atoms and distances in Å follow each position.
Space group I-42d (No. 122)
Unique sites:
Ni: 0.0000 0.0000 0.0000 [4 per cell]  4 Ir 2.32
Mo: 0.0000 0.0000 0.5000 [4 per cell]  4 Ir 2.42
Ir: 0.2359 0.2500 0.1250 [8 per cell]  2 Ni 2.32, 2 Mo 2.42

---

Here is a relaxed structure of LiSiIr2 from the Alexandria database. Energies are from PBE.

Results
- Final energy: -6.8244 eV per atom
- Fermi-level density of states: 1.5 states/eV/cell
- Formation energy (no corrections): -0.5597 eV/atom

Unit cell a=4.1155 b=4.1155 c=2.9401 alpha=90.00 beta=90.00 gamma=90.00
Closest atoms and distances in Å follow each position.
Space group P4/mmm (No. 123)
Unique sites:
Li: 0.0000 0.0000 0.0000 [1 per cell]  8 Ir 2.53
Si: 0.5000 0.5000 0.0000 [1 per cell]  8 Ir 2.53
Ir: 0.0000 0.5000 0.5000 [2 per cell]  4 Si 2.53, 4 Li 2.53

---

Here is a relaxed structure of HfCoCuSn from the Alexandria database. Energies are from PBE.

Results
- Final energy: -6.5667 eV per atom
- Fermi-level density of states: 6.7 states/eV/cell
- Energy of formation from the pure elements: -277 meV/atom

Unit cell a=6.3127 b=6.3127 c=6.3127 alpha=90.00 beta=90.00 gamma=90.00
Closest atoms and distances in Å follow each position.
Space group F-43m (No. 216)
Unique sites:
Hf: 0.0000 0.0000 0.0000 [4 per cell]  4 Cu 2.73, 4 Co 2.73
Co: 0.2500 0.2500 0.2500 [4 per cell]  4 Hf 2.73, 4 Sn 2.73
Cu: 0.2500 0.2500 0.7500 [4 per cell]  4 Hf 2.73, 4 Sn 2.73
Sn: 0.0000 0.0000 0.5000 [4 per cell]  4 Co 2.73, 4 Cu 2.73

---

Fermi-level density of states of number 2 (Sc2GaTc)? 26.7 states/eV/cell

---

Which of these has the lowest final energy? NiMoIr2

---

Look up the final energy of the fourth one. -7.7002 eV per atom

---

Which of these has the highest final energy? RbAc2O